Record 1
VASP calculation (PBE) on crystalline Mg2BAsPb at its relaxed geometry.

Geometry as CIF:
```
data_Mg2BAsPb
_chemical_formula_sum 'Mg2 B1 As1 Pb1'
_symmetry_space_group_name_H-M 'P 4/m m m'
_symmetry_Int_Tables_number 123
_symmetry_space_group_name_Hall '-P 4 2'
_cell_length_a 4.771
_cell_length_b 4.771
_cell_length_c 5.118
_cell_angle_alpha 90.00
_cell_angle_beta 90.00
_cell_angle_gamma 90.00
loop_
_atom_site_label
_atom_site_type_symbol
_atom_site_fract_x
_atom_site_fract_y
_atom_site_fract_z
Mg1 Mg 0.000 0.500 0.000
B1 B 0.000 0.000 0.000
As1 As 0.500 0.500 0.500
Pb1 Pb 0.000 0.000 0.500
```

Properties
* energy relative to the elements: 0.3241 eV/atom

Record 2
VASP calculation (PBE) on crystalline Mg2B2AsRh5 at its relaxed geometry.

Geometry as CIF:
```
data_Mg2B2AsRh5
_chemical_formula_sum 'Mg4 B4 As2 Rh10'
_symmetry_space_group_name_H-M 'P 4/m b m'
_symmetry_Int_Tables_number 127
_symmetry_space_group_name_Hall '-P 4 2ab'
_cell_length_a 9.413
_cell_length_b 9.413
_cell_length_c 2.966
_cell_angle_alpha 90.00
_cell_angle_beta 90.00
_cell_angle_gamma 90.00
loop_
_atom_site_label
_atom_site_type_symbol
_atom_site_fract_x
_atom_site_fract_y
_atom_site_fract_z
Mg1 Mg 0.174 0.326 0.000
B1 B 0.125 0.625 0.000
As1 As 0.000 0.000 0.000
Rh1 Rh 0.000 0.500 0.500
Rh2 Rh 0.074 0.785 0.500
```

Properties
* energy relative to the elements: -0.5898 eV/atom

Record 3
VASP calculation (PBE) on crystalline Mg2BAsRh6 at its relaxed geometry.

Geometry as CIF:
```
data_Mg2BAsRh6
_chemical_formula_sum 'Mg4 B2 As2 Rh12'
_symmetry_space_group_name_H-M 'P m m n'
_symmetry_Int_Tables_number 59
_cell_length_a 5.795
_cell_length_b 8.435
_cell_length_c 6.634
_cell_angle_alpha 90.00
_cell_angle_beta 90.00
_cell_angle_gamma 90.00
loop_
_symmetry_equiv_pos_as_xyz
'x,y,z'
'-x,-y,-z'
'-x+1/2,-y+1/2,z'
'x+1/2,y+1/2,-z'
'x+1/2,-y,-z'
'-x+1/2,y,z'
'-x,y+1/2,-z'
'x,-y+1/2,z'
loop_
_atom_site_label
_atom_site_type_symbol
_atom_site_fract_x
_atom_site_fract_y
_atom_site_fract_z
Mg1 Mg 0.250 0.003 0.237
B1 B 0.250 0.250 0.817
As1 As 0.250 0.750 0.679
Rh1 Rh 0.011 0.750 0.982
Rh2 Rh 0.012 0.250 0.585
Rh3 Rh 0.250 0.009 0.811
```

Properties
* energy relative to the elements: -0.2360 eV/atom

Calculated calculated volume in order - 116.5; 262.8; 324.3 Å³ per cell
Calculated total magnetic moment in order - 0.118; 0.000; 0.000 μB per atom
Calculated Fermi-level density of states in order - 0.692; 0.429; 1.001 states/eV/atom